Entry from Alexandria: crystalline Na3VP2O8 at its relaxed geometry (PBE+U).

Output
* SG: No. 164
* DFT total energy: -6.6184 eV/atom

a = 5.340 Å, b = 5.340 Å, c = 6.788 Å
α = 90.00°, β = 90.00°, γ = 120.00°
Positions (direct):
Na1 0.000 0.000 0.000
Na2 0.333 0.667 0.690
Na3 0.667 0.333 0.310
V1 0.000 0.000 0.500
P1 0.333 0.667 0.235
P2 0.667 0.333 0.765
O1 0.176 0.352 0.320
O2 0.176 0.824 0.320
O3 0.333 0.667 0.014
O4 0.352 0.176 0.680
O5 0.648 0.824 0.320
O6 0.667 0.333 0.986
O7 0.824 0.176 0.680
O8 0.824 0.648 0.680